A plane-wave DFT calculation with GGA-PBE was carried out for a relaxed PrTc2N5 crystal.

abc: 3.886 3.886 8.091
angles: 103.90 103.90 90.00
Sites, in units of the cell vectors:
Pr1 0.500 0.500 0.000
Tc1 0.122 0.122 0.244
Tc2 0.878 0.878 0.756
N1 0.632 0.132 0.263
N2 0.132 0.632 0.263
N3 0.868 0.368 0.737
N4 0.368 0.868 0.737
N5 0.000 0.000 0.000

ΔE_f (raw): 0.079 eV/atom
magnetization: 0.0 μB/cell
crystal system: tetragonal
volume: 14.4 A^3/atom
total energy: -8.314 eV per atom
SG: No. 139

***

A plane-wave DFT calculation with GGA-PBE was carried out for a relaxed PrTcN3 crystal.

abc: 6.328 7.465 7.465
angles: 85.28 75.37 75.37
Sites, in units of the cell vectors:
Pr1 0.750 0.314 0.686
Pr2 0.250 0.093 0.907
Pr3 0.750 0.907 0.093
Pr4 0.250 0.686 0.314
Tc1 0.739 0.378 0.202
Tc2 0.239 0.202 0.378
Tc3 0.761 0.798 0.622
Tc4 0.261 0.622 0.798
N1 0.463 0.339 0.352
N2 0.662 0.999 0.770
N3 0.963 0.352 0.339
N4 0.037 0.648 0.661
N5 0.849 0.861 0.383
N6 0.162 0.770 0.999
N7 0.537 0.661 0.648
N8 0.838 0.230 0.001
N9 0.338 0.001 0.230
N10 0.349 0.383 0.861
N11 0.151 0.139 0.617
N12 0.651 0.617 0.139

ΔE_f (raw): -0.516 eV/atom
magnetization: 0.0 μB/cell
crystal system: monoclinic
volume: 16.5 A^3/atom
total energy: -8.540 eV per atom
SG: No. 15

***

A plane-wave DFT calculation with GGA-PBE was carried out for a relaxed PrTcN3 crystal.

abc: 5.028 7.661 7.661
angles: 92.74 92.32 92.32
Sites, in units of the cell vectors:
Pr1 0.849 0.612 0.829
Pr2 0.651 0.171 0.388
Pr3 0.151 0.388 0.171
Pr4 0.349 0.829 0.612
Tc1 0.250 0.951 0.049
Tc2 0.750 0.049 0.951
Tc3 0.250 0.301 0.699
Tc4 0.750 0.699 0.301
N1 0.563 0.827 0.933
N2 0.937 0.067 0.173
N3 0.437 0.173 0.067
N4 0.063 0.933 0.827
N5 0.980 0.296 0.860
N6 0.520 0.140 0.704
N7 0.020 0.704 0.140
N8 0.480 0.860 0.296
N9 0.376 0.526 0.729
N10 0.124 0.271 0.474
N11 0.624 0.474 0.271
N12 0.876 0.729 0.526

ΔE_f (raw): -0.403 eV/atom
magnetization: 0.0 μB/cell
crystal system: monoclinic
volume: 14.7 A^3/atom
total energy: -8.428 eV per atom
SG: No. 15

***

A plane-wave DFT calculation with GGA-PBE was carried out for a relaxed Pr3Tc2N7 crystal.

abc: 3.839 4.009 10.545
angles: 100.96 90.00 90.00
Sites, in units of the cell vectors:
Pr1 0.500 0.500 0.000
Pr2 0.500 0.680 0.361
Pr3 0.500 0.320 0.639
Tc1 0.000 0.902 0.804
Tc2 0.000 0.098 0.196
N1 0.000 0.405 0.811
N2 0.000 0.802 0.605
N3 0.000 0.000 0.000
N4 0.000 0.595 0.189
N5 0.500 0.101 0.201
N6 0.500 0.899 0.799
N7 0.000 0.198 0.395

ΔE_f (raw): -0.464 eV/atom
magnetization: 0.0 μB/cell
crystal system: orthorhombic
volume: 13.3 A^3/atom
total energy: -8.243 eV per atom
SG: No. 65

***

A plane-wave DFT calculation with GGA-PBE was carried out for a relaxed Pr4TcN5 crystal.

abc: 5.258 6.148 6.148
angles: 79.47 64.69 64.69
Last column: magnetic moment on the atom in μB.
Sites, in units of the cell vectors:
Pr1 0.390 0.410 0.804  0.00
Pr2 0.800 0.804 0.590  0.00
Pr3 0.194 0.196 0.410  0.00
Pr4 0.604 0.590 0.196  0.00
Tc1 0.061 0.000 0.000  0.62
N1 0.917 0.372 0.815  0.01
N2 0.289 0.815 0.628  0.01
N3 0.732 0.185 0.372  0.01
N4 0.105 0.628 0.185  0.01
N5 0.418 0.000 0.000  0.11

ΔE_f (raw): -0.866 eV/atom
magnetization: 0.9 μB/cell
crystal system: tetragonal
volume: 16.2 A^3/atom
total energy: -7.978 eV per atom
SG: No. 79

***

A plane-wave DFT calculation with GGA-PBE was carried out for a relaxed PrTcN4 crystal.

abc: 5.340 5.340 7.273
angles: 111.54 111.54 90.00
Last column: magnetic moment on the atom in μB.
Sites, in units of the cell vectors:
Pr1 0.000 0.000 0.000  0.00
Pr2 0.750 0.250 0.500  0.00
Tc1 0.500 0.500 0.000  -0.20
Tc2 0.250 0.750 0.500  -0.20
N1 0.042 0.922 0.338  0.40
N2 0.166 0.292 0.838  0.40
N3 0.672 0.546 0.838  0.40
N4 0.296 0.416 0.338  0.40
N5 0.454 0.834 0.162  0.40
N6 0.078 0.704 0.662  0.40
N7 0.584 0.958 0.662  0.40
N8 0.708 0.328 0.162  0.40

ΔE_f (raw): 0.081 eV/atom
magnetization: 4.0 μB/cell
crystal system: tetragonal
volume: 14.8 A^3/atom
total energy: -7.993 eV per atom
SG: No. 88

***

A plane-wave DFT calculation with GGA-PBE was carried out for a relaxed PrTcN2 crystal.

abc: 3.402 3.402 5.578
angles: 72.24 72.24 60.00
Last column: magnetic moment on the atom in μB.
Sites, in units of the cell vectors:
Pr1 0.500 0.500 0.500  -0.02
Tc1 0.000 0.000 0.000  1.44
N1 0.267 0.267 0.198  0.07
N2 0.733 0.733 0.802  0.07

ΔE_f (raw): -0.463 eV/atom
magnetization: 1.7 μB/cell
crystal system: trigonal
volume: 13.1 A^3/atom
total energy: -8.412 eV per atom
SG: No. 166

***

A plane-wave DFT calculation with GGA-PBE was carried out for a relaxed Pr5TcN6 crystal.

abc: 6.177 6.203 6.192
angles: 59.94 80.36 70.46
Last column: magnetic moment on the atom in μB.
Sites, in units of the cell vectors:
Pr1 0.500 0.164 0.673  -0.02
Pr2 0.000 0.333 0.335  -0.01
Pr3 0.500 0.500 0.000  -0.03
Pr4 0.000 0.667 0.665  -0.01
Pr5 0.500 0.836 0.327  -0.02
Tc1 0.000 0.000 0.000  1.54
N1 0.767 0.078 0.311  0.08
N2 0.233 0.611 0.311  0.08
N3 0.244 0.234 0.000  0.04
N4 0.756 0.766 0.000  0.04
N5 0.767 0.389 0.689  0.08
N6 0.233 0.922 0.689  0.08

ΔE_f (raw): -0.922 eV/atom
magnetization: 2.0 μB/cell
crystal system: monoclinic
volume: 16.1 A^3/atom
total energy: -7.940 eV per atom
SG: No. 12

***

Copy entry 6 word for word.
A plane-wave DFT calculation with GGA-PBE was carried out for a relaxed PrTcN4 crystal.

abc: 5.340 5.340 7.273
angles: 111.54 111.54 90.00
Last column: magnetic moment on the atom in μB.
Sites, in units of the cell vectors:
Pr1 0.000 0.000 0.000  0.00
Pr2 0.750 0.250 0.500  0.00
Tc1 0.500 0.500 0.000  -0.20
Tc2 0.250 0.750 0.500  -0.20
N1 0.042 0.922 0.338  0.40
N2 0.166 0.292 0.838  0.40
N3 0.672 0.546 0.838  0.40
N4 0.296 0.416 0.338  0.40
N5 0.454 0.834 0.162  0.40
N6 0.078 0.704 0.662  0.40
N7 0.584 0.958 0.662  0.40
N8 0.708 0.328 0.162  0.40

ΔE_f (raw): 0.081 eV/atom
magnetization: 4.0 μB/cell
crystal system: tetragonal
volume: 14.8 A^3/atom
total energy: -7.993 eV per atom
SG: No. 88

***

Among the records above, which one has the lowest ΔE_f (raw)?
Pr5TcN6